NaBeMoO4 | PBE+U | relaxed

Final energy in eV per atom: -6.50
Space-group type: I-4
Volume in Å³/cell: 99.7

```
NaBeMoO4
1.0
-2.599 2.599 3.688
2.599 -2.599 3.688
2.599 2.599 -3.688
Na Be Mo O
1 1 1 4
Direct
0.000 0.000 0.000
0.250 0.750 0.500
0.500 0.500 0.000
0.238 0.658 0.142
0.342 0.484 0.580
0.516 0.096 0.858
0.904 0.762 0.420
```